Entry 1:
First-principles (PBE) data for crystalline NaIn4Bi at its relaxed geometry, as listed in Alexandria via LeMat-Bulk.

Results
Calculated density   6.5 g cm⁻³
ΔE to the lowest computed polymorph   0.057 eV/atom

CIF file:
```
data_NaIn4Bi
_cell_length_a 8.9112
_cell_length_b 8.9112
_cell_length_c 8.9112
_cell_angle_alpha 90.00
_cell_angle_beta 90.00
_cell_angle_gamma 90.00
_symmetry_space_group_name_H-M 'F -4 3 m'
_symmetry_Int_Tables_number 216
_symmetry_space_group_name_Hall 'F -4 2 3'
loop_
_atom_site_label
_atom_site_type_symbol
_atom_site_fract_x
_atom_site_fract_y
_atom_site_fract_z
Na1 Na 0.0000 0.0000 0.0000
In1 In 0.1250 0.1250 0.3750
Bi1 Bi 0.2500 0.2500 0.7500
```

---

Entry 2:
First-principles (PBE) data for crystalline Na3In4Bi2 at its relaxed geometry, as listed in Alexandria via LeMat-Bulk.

Results
Calculated density   5.9 g cm⁻³
ΔE to the lowest computed polymorph   0.000 eV/atom

CIF file:
```
data_Na3In4Bi2
_cell_length_a 5.2616
_cell_length_b 6.4113
_cell_length_c 9.1406
_cell_angle_alpha 89.55
_cell_angle_beta 73.28
_cell_angle_gamma 65.79
_symmetry_space_group_name_H-M 'P -1'
_symmetry_Int_Tables_number 2
_symmetry_space_group_name_Hall '-P 1'
loop_
_atom_site_label
_atom_site_type_symbol
_atom_site_fract_x
_atom_site_fract_y
_atom_site_fract_z
Na1 Na 0.0000 0.0000 0.0000
Na2 Na 0.0587 0.2441 0.6367
In1 In 0.3184 0.3795 0.9837
In2 In 0.3613 0.6069 0.6691
Bi1 Bi 0.3320 0.0784 0.2588
```

---

Entry 3:
First-principles (PBE) data for crystalline Na2InBi at its relaxed geometry, as listed in Alexandria via LeMat-Bulk.

Results
Calculated density   5.0 g cm⁻³

CIF file:
```
data_Na2InBi
_cell_length_a 4.7016
_cell_length_b 4.7016
_cell_length_c 22.2820
_cell_angle_alpha 90.00
_cell_angle_beta 90.00
_cell_angle_gamma 90.00
_symmetry_space_group_name_H-M 'I -4 2 d'
_symmetry_Int_Tables_number 122
_symmetry_space_group_name_Hall 'I -4 2bw'
loop_
_atom_site_label
_atom_site_type_symbol
_atom_site_fract_x
_atom_site_fract_y
_atom_site_fract_z
Na1 Na 0.2475 0.2500 0.1250
In1 In 0.0000 0.0000 0.5000
Bi1 Bi 0.0000 0.0000 0.0000
```

---

Entry 4:
First-principles (PBE) data for crystalline Na4In5Bi2 at its relaxed geometry, as listed in Alexandria via LeMat-Bulk.

Results
Calculated density   5.7 g cm⁻³

CIF file:
```
data_Na4In5Bi2
_cell_length_a 8.4957
_cell_length_b 3.3298
_cell_length_c 11.0975
_cell_angle_alpha 90.00
_cell_angle_beta 92.86
_cell_angle_gamma 90.00
_symmetry_space_group_name_H-M 'P 1 2/m 1'
_symmetry_Int_Tables_number 10
_symmetry_space_group_name_Hall '-P 2y'
loop_
_atom_site_label
_atom_site_type_symbol
_atom_site_fract_x
_atom_site_fract_y
_atom_site_fract_z
Na1 Na 0.1629 0.0000 0.3995
Na2 Na 0.2956 0.0000 0.9443
In1 In 0.2045 0.5000 0.6606
In2 In 0.4369 0.5000 0.2207
In3 In 0.5000 0.5000 0.5000
Bi1 Bi 0.0600 0.5000 0.1407
```

---

Entry 5:
First-principles (PBE) data for crystalline Na2InBi at its relaxed geometry, as listed in Alexandria via LeMat-Bulk.

Results
Calculated density   5.2 g cm⁻³

CIF file:
```
data_Na2InBi
_cell_length_a 10.0924
_cell_length_b 13.0643
_cell_length_c 7.1072
_cell_angle_alpha 90.00
_cell_angle_beta 90.00
_cell_angle_gamma 90.00
_symmetry_space_group_name_H-M 'C m c e'
_symmetry_Int_Tables_number 64
_symmetry_space_group_name_Hall '-C 2ac 2'
loop_
_atom_site_label
_atom_site_type_symbol
_atom_site_fract_x
_atom_site_fract_y
_atom_site_fract_z
Na1 Na 0.0000 0.1233 0.0007
Na2 Na 0.2500 0.2501 0.2500
In1 In 0.0000 0.1159 0.5007
Bi1 Bi 0.2500 0.0001 0.2500
```

---

Entry 6:
First-principles (PBE) data for crystalline Na2InBi at its relaxed geometry, as listed in Alexandria via LeMat-Bulk.

Results
Calculated density   5.0 g cm⁻³

CIF file:
```
data_Na2InBi
_cell_length_a 10.9160
_cell_length_b 4.7045
_cell_length_c 10.7992
_cell_angle_alpha 90.00
_cell_angle_beta 118.08
_cell_angle_gamma 90.00
_symmetry_space_group_name_H-M 'C 1 m 1'
_symmetry_Int_Tables_number 8
_symmetry_space_group_name_Hall 'C -2y'
loop_
_atom_site_label
_atom_site_type_symbol
_atom_site_fract_x
_atom_site_fract_y
_atom_site_fract_z
Na1 Na 0.0000 0.0000 0.0000
Na2 Na 0.0005 0.5000 0.5003
Na3 Na 0.2374 0.0000 0.7909
Na4 Na 0.2630 0.5000 0.2075
In1 In 0.1336 0.0000 0.3817
In2 In 0.3672 0.5000 0.6190
Bi1 Bi 0.0476 0.5000 0.8184
Bi2 Bi 0.4538 0.0000 0.1822
```

---

Entry 7:
First-principles (PBE) data for crystalline NaIn2Bi6 at its relaxed geometry, as listed in Alexandria via LeMat-Bulk.

Results
Calculated density   8.8 g cm⁻³

CIF file:
```
data_NaIn2Bi6
_cell_length_a 17.1166
_cell_length_b 9.9656
_cell_length_c 3.3397
_cell_angle_alpha 90.00
_cell_angle_beta 90.01
_cell_angle_gamma 90.00
_symmetry_space_group_name_H-M 'C 1 2/m 1'
_symmetry_Int_Tables_number 12
_symmetry_space_group_name_Hall '-C 2y'
loop_
_atom_site_label
_atom_site_type_symbol
_atom_site_fract_x
_atom_site_fract_y
_atom_site_fract_z
Na1 Na 0.0000 0.0000 0.0000
In1 In 0.1667 0.5000 0.9999
Bi1 Bi 0.0000 0.3284 0.5000
Bi2 Bi 0.1641 0.1638 0.5016
```

---

Entry 8:
First-principles (PBE) data for crystalline Na4In2Bi at its relaxed geometry, as listed in Alexandria via LeMat-Bulk.

Results
Calculated density   3.1 g cm⁻³

CIF file:
```
data_Na4In2Bi
_cell_length_a 6.0299
_cell_length_b 6.0299
_cell_length_c 15.5548
_cell_angle_alpha 90.00
_cell_angle_beta 90.00
_cell_angle_gamma 90.00
_symmetry_space_group_name_H-M 'I 4/m m m'
_symmetry_Int_Tables_number 139
_symmetry_space_group_name_Hall '-I 4 2'
loop_
_atom_site_label
_atom_site_type_symbol
_atom_site_fract_x
_atom_site_fract_y
_atom_site_fract_z
Na1 Na 0.0000 0.0000 0.1996
Na2 Na 0.0000 0.5000 0.0000
In1 In 0.0000 0.0000 0.4046
Bi1 Bi 0.0000 0.0000 0.0000
```

---

Entry 9:
First-principles (PBE) data for crystalline NaIn2Bi at its relaxed geometry, as listed in Alexandria via LeMat-Bulk.

Results
Calculated density   5.6 g cm⁻³

CIF file:
```
data_NaIn2Bi
_cell_length_a 4.6314
_cell_length_b 4.6314
_cell_length_c 21.9628
_cell_angle_alpha 90.00
_cell_angle_beta 90.00
_cell_angle_gamma 120.00
_symmetry_space_group_name_H-M 'R 3 m'
_symmetry_Int_Tables_number 160
_symmetry_space_group_name_Hall 'R 3 -2"'
loop_
_atom_site_label
_atom_site_type_symbol
_atom_site_fract_x
_atom_site_fract_y
_atom_site_fract_z
Na1 Na 0.0000 0.0000 0.0000
In1 In 0.0000 0.0000 0.4234
In2 In 0.0000 0.0000 0.5773
Bi1 Bi 0.0000 0.0000 0.8324
```

---

Entry 10:
First-principles (PBE) data for crystalline Na3In5Bi2 at its relaxed geometry, as listed in Alexandria via LeMat-Bulk.

Results
Calculated density   5.5 g cm⁻³

CIF file:
```
data_Na3In5Bi2
_cell_length_a 13.4616
_cell_length_b 13.7389
_cell_length_c 6.9884
_cell_angle_alpha 90.00
_cell_angle_beta 90.00
_cell_angle_gamma 90.00
_symmetry_space_group_name_H-M 'I b a m'
_symmetry_Int_Tables_number 72
_symmetry_space_group_name_Hall '-I 2 2c'
loop_
_atom_site_label
_atom_site_type_symbol
_atom_site_fract_x
_atom_site_fract_y
_atom_site_fract_z
Na1 Na 0.0000 0.0000 0.2500
Na2 Na 0.2465 0.3740 0.0000
In1 In 0.0000 0.2520 0.2500
In2 In 0.0000 0.5000 0.2500
In3 In 0.1314 0.3767 0.5000
Bi1 Bi 0.1501 0.1321 0.0000
```

---

Entry 11:
First-principles (PBE) data for crystalline Na2In2Bi3 at its relaxed geometry, as listed in Alexandria via LeMat-Bulk.

Results
Calculated density   6.3 g cm⁻³

CIF file:
```
data_Na2In2Bi3
_cell_length_a 7.6365
_cell_length_b 9.2603
_cell_length_c 6.7176
_cell_angle_alpha 90.00
_cell_angle_beta 91.17
_cell_angle_gamma 90.00
_symmetry_space_group_name_H-M 'P 1 21/c 1'
_symmetry_Int_Tables_number 14
_symmetry_space_group_name_Hall '-P 2ybc'
loop_
_atom_site_label
_atom_site_type_symbol
_atom_site_fract_x
_atom_site_fract_y
_atom_site_fract_z
Na1 Na 0.1278 0.1775 0.1122
In1 In 0.3407 0.6309 0.8226
Bi1 Bi 0.0000 0.0000 0.5000
Bi2 Bi 0.3399 0.5383 0.3180
```

---

Entry 12:
First-principles (PBE) data for crystalline Na2InBi at its relaxed geometry, as listed in Alexandria via LeMat-Bulk.

Results
Calculated density   5.4 g cm⁻³

CIF file:
```
data_Na2InBi
_cell_length_a 3.4046
_cell_length_b 3.4046
_cell_length_c 9.8330
_cell_angle_alpha 90.00
_cell_angle_beta 90.00
_cell_angle_gamma 90.00
_symmetry_space_group_name_H-M 'P 4/m m m'
_symmetry_Int_Tables_number 123
_symmetry_space_group_name_Hall '-P 4 2'
loop_
_atom_site_label
_atom_site_type_symbol
_atom_site_fract_x
_atom_site_fract_y
_atom_site_fract_z
Na1 Na 0.0000 0.0000 0.2466
In1 In 0.5000 0.5000 0.5000
Bi1 Bi 0.5000 0.5000 0.0000
```

---

Number 1: calculated total energy -64.627 eV/cell, E_form -0.0005 eV per atom. Number 2: calculated total energy -24.151 eV/cell, E_form -0.1642 eV per atom. Number 3: calculated total energy -37.683 eV/cell, E_form -0.0408 eV per atom. Number 4: calculated total energy -27.916 eV/cell, E_form -0.1078 eV per atom. Number 5: calculated total energy -80.589 eV/cell, E_form -0.2040 eV per atom. Number 6: calculated total energy -40.122 eV/cell, E_form -0.1933 eV per atom. Number 7: calculated total energy -60.966 eV/cell, E_form -0.0446 eV per atom. Number 8: calculated total energy -28.881 eV/cell, E_form 0.0276 eV per atom. Number 9: calculated total energy -32.439 eV/cell, E_form -0.0340 eV per atom. Number 10: calculated total energy -105.984 eV/cell, E_form -0.1085 eV per atom. Number 11: calculated total energy -41.229 eV/cell, E_form -0.1224 eV per atom. Number 12: calculated total energy -9.994 eV/cell, E_form -0.1841 eV per atom.